Record 1
First-principles (meta-GGA SCAN) data for a PBEsol-optimized structure of KBaLiHg2, as listed in Alexandria.

Unit cell a=6.2703 b=6.2703 c=7.2276 alpha=90.00 beta=90.00 gamma=90.00
With the nearest neighbours (Å) after each atom.
Atoms (fractional coordinates):
K1 0.0000 0.0000 0.0000  2 Ba 3.61
Ba1 0.0000 0.0000 0.5000  4 Hg 3.14
Li1 0.5000 0.5000 0.0000  4 K 4.43, 8 Hg 4.78
Hg1 0.0000 0.5000 0.5000  2 Ba 3.14
Hg2 0.5000 0.0000 0.5000  2 Ba 3.14

Computed properties:
- Symmetry: P4/mmm
- Formation energy from the elements: 0.335 eV per atom
- V: 56.83 A^3/atom
- DOS(E_F): 4.4 states/eV per cell

Record 2
First-principles (meta-GGA SCAN) data for a PBEsol-optimized structure of BaLa2Hg, as listed in Alexandria.

Unit cell a=3.9367 b=3.9367 c=9.2547 alpha=90.00 beta=90.00 gamma=90.00
With the nearest neighbours (Å) after each atom.
Atoms (fractional coordinates):
Ba1 0.0000 0.0000 0.0000  4 Ba 3.94, 8 La 4.02
La1 0.5000 0.5000 0.3140  4 Hg 3.27, 1 La 3.44
La2 0.5000 0.5000 0.6860  4 Hg 3.27, 1 La 3.44
Hg1 0.0000 0.0000 0.5000  8 La 3.27

Computed properties:
- Symmetry: P4/mmm
- Formation energy from the elements: -0.238 eV per atom
- V: 35.86 A^3/atom
- DOS(E_F): 5.9 states/eV per cell

Record 3
First-principles (meta-GGA SCAN) data for a PBEsol-optimized structure of BaLa2Hg, as listed in Alexandria.

Unit cell a=3.8661 b=5.8457 c=12.3015 alpha=90.00 beta=90.00 gamma=90.00
With the nearest neighbours (Å) after each atom.
Atoms (fractional coordinates):
Ba1 0.0000 0.0000 0.0000  4 Hg 3.50, 2 Ba 3.87
Ba2 0.5000 0.5000 0.5000  4 Hg 3.50, 2 Ba 3.87
La1 0.0000 0.5000 0.2141  2 Hg 3.27, 4 La 3.61
La2 0.0000 0.5000 0.7859  2 Hg 3.27, 4 La 3.61
La3 0.5000 0.0000 0.2859  2 Hg 3.27, 4 La 3.61
La4 0.5000 0.0000 0.7141  2 Hg 3.27, 4 La 3.61
Hg1 0.0000 0.0000 0.5000  4 La 3.27, 4 Ba 3.50
Hg2 0.5000 0.5000 0.0000  4 La 3.27, 4 Ba 3.50

Computed properties:
- Symmetry: Immm
- Formation energy from the elements: -0.295 eV per atom
- V: 34.75 A^3/atom
- DOS(E_F): 9.4 states/eV per cell

Record 4
First-principles (meta-GGA SCAN) data for a PBEsol-optimized structure of BaLa2Hg, as listed in Alexandria.

Unit cell a=3.8708 b=3.8708 c=9.3787 alpha=90.00 beta=90.00 gamma=90.00
With the nearest neighbours (Å) after each atom.
Atoms (fractional coordinates):
Ba1 0.0000 0.0000 0.0000  4 Hg 3.54, 4 Ba 3.87
La1 0.0000 0.0000 0.4270  4 Hg 3.25, 4 La 3.54
La2 0.5000 0.5000 0.6670  8 La 3.54-3.87
Hg1 0.5000 0.5000 0.2396  4 La 3.25, 4 Ba 3.54

Computed properties:
- Symmetry: P4mm
- Formation energy from the elements: -0.307 eV per atom
- V: 35.13 A^3/atom
- DOS(E_F): 4.2 states/eV per cell

Record 5
First-principles (meta-GGA SCAN) data for a PBEsol-optimized structure of BaLaHg2Mo, as listed in Alexandria.

Unit cell a=5.7952 b=5.7952 c=6.0355 alpha=90.00 beta=90.00 gamma=90.00
With the nearest neighbours (Å) after each atom.
Atoms (fractional coordinates):
Ba1 0.0000 0.0000 0.0000  4 Hg 2.90, 2 La 3.02
La1 0.0000 0.0000 0.5000  2 Ba 3.02
Hg1 0.0000 0.5000 0.0000  2 Ba 2.90
Hg2 0.5000 0.0000 0.0000  2 Ba 2.90
Mo1 0.5000 0.5000 0.5000  4 La 4.10, 8 Hg 4.18

Computed properties:
- Symmetry: P4/mmm
- Formation energy from the elements: 1.445 eV per atom
- V: 40.54 A^3/atom
- DOS(E_F): 3.6 states/eV per cell

Record 6
First-principles (meta-GGA SCAN) data for a PBEsol-optimized structure of BaLa2HgO, as listed in Alexandria.

Unit cell a=4.8116 b=4.8116 c=6.7463 alpha=90.00 beta=90.00 gamma=90.00
With the nearest neighbours (Å) after each atom.
Atoms (fractional coordinates):
Ba1 0.0000 0.0000 0.0000  4 Hg 3.40
La1 0.0000 0.5000 0.5000  2 O 2.41
La2 0.5000 0.0000 0.5000  2 O 2.41
Hg1 0.5000 0.5000 0.0000  2 O 3.37, 4 Ba 3.40
O1 0.5000 0.5000 0.5000  4 La 2.41

Computed properties:
- Symmetry: P4/mmm
- Formation energy (no corrections): -1.11 eV per atom
- V: 31.24 A^3/atom
- DOS(E_F): 6.7 states/eV per cell

Record 7
First-principles (meta-GGA SCAN) data for a PBEsol-optimized structure of BaLaHgRh2, as listed in Alexandria.

Unit cell a=5.1590 b=5.1590 c=5.3553 alpha=90.00 beta=90.00 gamma=90.00
With the nearest neighbours (Å) after each atom.
Atoms (fractional coordinates):
Ba1 0.0000 0.0000 0.0000  4 La 3.65, 8 Rh 3.72
La1 0.5000 0.5000 0.0000  2 Hg 2.68
Hg1 0.5000 0.5000 0.5000  4 Rh 2.58, 2 La 2.68
Rh1 0.0000 0.5000 0.5000  2 Hg 2.58
Rh2 0.5000 0.0000 0.5000  2 Hg 2.58

Computed properties:
- Symmetry: P4/mmm
- Formation energy from the elements: 0.501 eV per atom
- V: 28.51 A^3/atom
- DOS(E_F): 4.0 states/eV per cell

Record 8
First-principles (meta-GGA SCAN) data for a PBEsol-optimized structure of BaLiHg, as listed in Alexandria.

Unit cell a=4.9376 b=4.9376 c=4.3815 alpha=90.00 beta=90.00 gamma=120.00
With the nearest neighbours (Å) after each atom.
Atoms (fractional coordinates):
Ba1 0.0000 0.0000 0.0000  6 Li 3.60, 6 Hg 3.60
Li1 0.6667 0.3333 0.5000  3 Hg 2.85
Hg1 0.3333 0.6667 0.5000  3 Li 2.85

Computed properties:
- Symmetry: P-6m2
- ΔE to the lowest computed polymorph: 0.00 kJ/mol of atoms
- Formation energy from the elements: -0.457 eV per atom
- V: 30.84 A^3/atom
- DOS(E_F): 2.2 states/eV per cell